Record 1
## K2TmRe2N6 (PBE)

Data for crystalline K2TmRe2N6 at its relaxed geometry.

Lattice parameters (Å, degrees): 6.238 6.266 7.359 116.95 90.00 119.86
Each line ends with the local moment (μB).
Fractional coordinates of all 11 atoms:
N  0.244  0.007  0.729  0.08
Re  0.940  0.880  0.787  -0.04
Re  0.060  0.120  0.213  -0.04
K  0.719  0.439  0.186  0.00
N  0.763  0.007  0.729  0.08
N  0.249  0.498  0.314  0.09
N  0.756  0.993  0.271  0.08
Tm  0.500  0.000  0.500  -0.02
N  0.751  0.502  0.686  0.09
N  0.237  0.993  0.271  0.08
K  0.281  0.561  0.814  0.00

Values from the calculation:
The total DFT energy (no corrections) is -85.619 eV/cell. The value obtained for the density of states at the Fermi level is 4.5 states/eV per cell. The uncorrected formation energy is -0.37 eV per atom.

Record 2
## La8BSe3I4 (PBE)

Data for crystalline La8BSe3I4 at its relaxed geometry.

Lattice parameters (Å, degrees): 8.684 9.206 8.683 118.14 120.00 90.00
Fractional coordinates of all 16 atoms:
La  0.217  0.694  0.977
La  0.217  0.694  0.435
B  0.000  0.500  0.000
La  0.783  0.306  0.023
I  0.500  0.000  0.000
Se  0.500  0.500  0.500
La  0.759  0.694  0.977
I  0.000  0.000  0.500
I  0.000  0.000  0.000
La  0.241  0.306  0.023
Se  0.500  0.500  0.000
La  0.783  0.306  0.565
La  0.265  0.296  0.531
Se  0.000  0.500  0.500
La  0.735  0.704  0.469
I  0.500  0.000  0.500

Values from the calculation:
The total DFT energy (no corrections) is -83.870 eV/cell. The value obtained for the density of states at the Fermi level is 7.9 states/eV per cell. The uncorrected formation energy is -1.32 eV per atom.

Record 3
## ZrZnSCl2 (PBE)

Data for crystalline ZrZnSCl2 at its relaxed geometry.

Lattice parameters (Å, degrees): 5.135 5.135 4.949 90.00 90.00 90.00
Fractional coordinates of all 5 atoms:
S  0.000  0.000  0.500
Cl  0.000  0.500  0.000
Cl  0.500  0.000  0.000
Zn  0.500  0.500  0.500
Zr  0.000  0.000  0.000

Values from the calculation:
The total DFT energy (no corrections) is -22.179 eV/cell. The value obtained for the density of states at the Fermi level is 2.8 states/eV per cell. The uncorrected formation energy is -0.91 eV per atom.

Record 4
## NbMo5W2 (PBE)

Data for crystalline NbMo5W2 at its relaxed geometry.

Lattice parameters (Å, degrees): 6.370 6.370 5.519 125.24 125.24 90.00
Fractional coordinates of all 8 atoms:
Mo  0.722  0.722  0.944
W  0.722  0.222  0.444
Mo  0.222  0.722  0.944
Mo  0.722  0.722  0.444
Mo  0.722  0.222  0.944
Mo  0.222  0.222  0.944
W  0.222  0.722  0.444
Nb  0.222  0.222  0.444

Values from the calculation:
The total DFT energy (no corrections) is -90.645 eV/cell. The value obtained for the density of states at the Fermi level is 3.6 states/eV per cell. The formation energy is -0.5 eV per formula unit.

Record 5
## Nd4Ga2Ag (PBE)

Data for crystalline Nd4Ga2Ag at its relaxed geometry.

Lattice parameters (Å, degrees): 4.160 5.784 9.683 117.25 102.40 90.00
Fractional coordinates of all 7 atoms:
Ga  0.736  0.836  0.471
Nd  0.102  0.656  0.204
Nd  0.898  0.344  0.796
Ag  0.000  0.000  0.000
Nd  0.350  0.776  0.699
Nd  0.650  0.224  0.301
Ga  0.264  0.164  0.529

Values from the calculation:
The total DFT energy (no corrections) is -30.040 eV/cell. The value obtained for the density of states at the Fermi level is 7.4 states/eV per cell. The formation energy is -2.1 eV per formula unit.

Record 6
## TbTmTh2 (PBE)

Data for crystalline TbTmTh2 at its relaxed geometry.

Lattice parameters (Å, degrees): 5.032 5.045 11.221 90.00 116.60 90.00
Fractional coordinates of all 8 atoms:
Th  0.124  0.750  0.123
Tb  0.872  0.750  0.372
Tm  0.627  0.750  0.628
Th  0.876  0.250  0.877
Th  0.625  0.250  0.124
Th  0.375  0.750  0.876
Tb  0.128  0.250  0.628
Tm  0.373  0.250  0.372

Values from the calculation:
The total DFT energy (no corrections) is -47.641 eV/cell. The value obtained for the density of states at the Fermi level is 13.7 states/eV per cell. The formation energy is 0.1 eV per formula unit.

Record 7
## NiMoN3 (PBE)

Data for crystalline NiMoN3 at its relaxed geometry.

Lattice parameters (Å, degrees): 5.509 7.639 8.918 99.25 99.88 97.33
Each line ends with the local moment (μB).
Fractional coordinates of all 20 atoms:
N  0.853  0.828  0.679  0.10
Mo  0.872  0.678  0.087  0.01
N  0.147  0.172  0.321  0.10
N  0.048  0.467  0.143  0.05
N  0.591  0.722  0.923  0.02
N  0.773  0.741  0.278  0.01
Ni  0.753  0.747  0.474  0.08
Mo  0.292  0.367  0.244  -0.02
Mo  0.128  0.322  0.913  0.01
N  0.105  0.868  0.124  0.03
N  0.533  0.532  0.444  0.00
N  0.952  0.533  0.857  0.05
Ni  0.247  0.253  0.526  0.08
Mo  0.708  0.633  0.756  -0.02
N  0.409  0.278  0.077  0.02
N  0.467  0.468  0.556  0.00
Ni  0.000  0.049  0.692  0.23
N  0.895  0.132  0.876  0.03
N  0.227  0.259  0.722  0.01
Ni  0.000  0.951  0.308  0.23

Values from the calculation:
The total DFT energy (no corrections) is -160.168 eV/cell. The value obtained for the density of states at the Fermi level is 7.5 states/eV per cell. The uncorrected formation energy is 0.31 eV per atom.

Record 8
## MgSi2Pt (PBE)

Data for crystalline MgSi2Pt at its relaxed geometry.

Lattice parameters (Å, degrees): 4.712 4.712 2.975 90.00 90.00 110.98
Fractional coordinates of all 4 atoms:
Mg  0.500  0.000  0.500
Si  0.500  0.500  0.000
Si  0.000  0.000  0.000
Pt  0.000  0.500  0.500

Values from the calculation:
The total DFT energy (no corrections) is -18.998 eV/cell. The value obtained for the density of states at the Fermi level is 1.4 states/eV per cell. The uncorrected formation energy is -0.13 eV per atom.

Record 9
## Rb3Sn8Pb3 (PBE)

Data for crystalline Rb3Sn8Pb3 at its relaxed geometry.

Lattice parameters (Å, degrees): 5.301 10.033 10.033 70.92 74.68 74.68
Fractional coordinates of all 14 atoms:
Rb  0.500  0.500  0.500
Sn  0.159  0.476  0.205
Sn  0.348  0.926  0.377
Sn  0.841  0.524  0.795
Sn  0.652  0.074  0.623
Pb  0.000  0.804  0.196
Sn  0.159  0.205  0.476
Sn  0.841  0.795  0.524
Pb  0.000  0.196  0.804
Sn  0.652  0.623  0.074
Sn  0.348  0.377  0.926
Pb  0.500  0.000  0.000
Rb  0.801  0.199  0.199
Rb  0.199  0.801  0.801

Values from the calculation:
The total DFT energy (no corrections) is -47.698 eV/cell. The value obtained for the density of states at the Fermi level is 5.2 states/eV per cell. The formation energy is -1.6 eV per formula unit.

Record 10
## RbSr2NiW (PBE)

Data for crystalline RbSr2NiW at its relaxed geometry.

Lattice parameters (Å, degrees): 6.109 4.614 6.109 90.00 90.00 90.00
Each line ends with the local moment (μB).
Fractional coordinates of all 5 atoms:
Sr  0.500  0.000  0.000  -0.01
Sr  0.000  0.000  0.500  -0.01
Ni  0.000  0.500  0.000  0.09
W  0.500  0.500  0.500  2.85
Rb  0.000  0.000  0.000  -0.04

Values from the calculation:
The total DFT energy (no corrections) is -12.903 eV/cell. The value obtained for the density of states at the Fermi level is 5.2 states/eV per cell. The formation energy is 10.2 eV per formula unit.

Record 11
## Tb6Ge2P3Se (PBE)

Data for crystalline Tb6Ge2P3Se at its relaxed geometry.

Lattice parameters (Å, degrees): 4.018 8.288 9.168 103.61 102.66 90.00
Fractional coordinates of all 12 atoms:
Se  0.500  0.000  0.000
Tb  0.999  0.260  0.998
Tb  0.330  0.923  0.661
Tb  0.001  0.740  0.002
P  0.164  0.835  0.329
Tb  0.336  0.408  0.672
P  0.500  0.500  0.000
Ge  0.833  0.666  0.667
Tb  0.664  0.592  0.328
Ge  0.167  0.334  0.333
P  0.836  0.165  0.671
Tb  0.670  0.077  0.339

Values from the calculation:
The total DFT energy (no corrections) is -73.372 eV/cell. The value obtained for the density of states at the Fermi level is 4.1 states/eV per cell. The uncorrected formation energy is -1.39 eV per atom.

Record 12
## SrAuSe (PBE)

Data for crystalline SrAuSe at its relaxed geometry.

Lattice parameters (Å, degrees): 5.005 5.005 5.005 60.00 60.00 60.00
Fractional coordinates of all 3 atoms:
Au  0.500  0.500  0.500
Se  0.750  0.750  0.750
Sr  0.000  0.000  0.000

Values from the calculation:
The total DFT energy (no corrections) is -10.971 eV/cell. The value obtained for the density of states at the Fermi level is 1.3 states/eV per cell. The uncorrected formation energy is -0.84 eV per atom.